Record 1
The following is a DFT calculation (PBE) of Ba12As3Pd5 after structural relaxation.

a = 16.447 Å, b = 16.447 Å, c = 16.447 Å
α = 109.47°, β = 109.47°, γ = 109.47°
Sites, in units of the cell vectors:
As: 0.750 0.375 0.125
As: 0.875 0.750 0.125
As: 0.375 0.750 0.625
As: 0.250 0.125 0.375
As: 0.875 0.125 0.250
As: 0.375 0.625 0.250
As: 0.625 0.375 0.750
As: 0.125 0.875 0.750
As: 0.750 0.875 0.625
As: 0.625 0.250 0.375
As: 0.125 0.250 0.875
As: 0.250 0.625 0.875
Pd: 0.125 0.375 0.250
Pd: 0.000 0.500 0.000
Pd: 0.000 0.000 0.000
Pd: 0.375 0.250 0.125
Pd: 0.500 0.000 0.500
Pd: 0.500 0.500 0.000
Pd: 0.125 0.750 0.375
Pd: 0.750 0.125 0.875
Pd: 0.750 0.625 0.375
Pd: 0.375 0.125 0.750
Pd: 0.625 0.875 0.250
Pd: 0.500 0.500 0.500
Pd: 0.500 0.000 0.000
Pd: 0.000 0.000 0.500
Pd: 0.250 0.375 0.625
Pd: 0.250 0.875 0.125
Pd: 0.000 0.500 0.500
Pd: 0.875 0.250 0.625
Pd: 0.625 0.750 0.875
Pd: 0.875 0.625 0.750
Ba: 0.719 0.131 0.044
Ba: 0.325 0.544 0.414
Ba: 0.956 0.369 0.281
Ba: 0.544 0.219 0.131
Ba: 0.589 0.719 0.675
Ba: 0.956 0.586 0.175
Ba: 0.325 0.781 0.411
Ba: 0.086 0.911 0.131
Ba: 0.586 0.956 0.675
Ba: 0.719 0.589 0.175
Ba: 0.781 0.456 0.369
Ba: 0.825 0.914 0.044
Ba: 0.131 0.719 0.544
Ba: 0.369 0.414 0.089
Ba: 0.089 0.914 0.369
Ba: 0.411 0.131 0.586
Ba: 0.089 0.175 0.219
Ba: 0.456 0.675 0.086
Ba: 0.825 0.911 0.281
Ba: 0.131 0.411 0.086
Ba: 0.369 0.956 0.781
Ba: 0.586 0.631 0.411
Ba: 0.914 0.825 0.544
Ba: 0.781 0.325 0.911
Ba: 0.414 0.369 0.589
Ba: 0.086 0.175 0.456
Ba: 0.219 0.675 0.089
Ba: 0.175 0.089 0.719
Ba: 0.631 0.044 0.219
Ba: 0.869 0.589 0.914
Ba: 0.544 0.325 0.914
Ba: 0.589 0.869 0.414
Ba: 0.911 0.825 0.781
Ba: 0.911 0.086 0.631
Ba: 0.869 0.281 0.456
Ba: 0.175 0.086 0.956
Ba: 0.631 0.586 0.911
Ba: 0.414 0.044 0.325
Ba: 0.281 0.411 0.825
Ba: 0.219 0.544 0.631
Ba: 0.914 0.089 0.869
Ba: 0.675 0.219 0.589
Ba: 0.456 0.781 0.869
Ba: 0.044 0.414 0.825
Ba: 0.411 0.281 0.325
Ba: 0.044 0.631 0.719
Ba: 0.675 0.456 0.586
Ba: 0.281 0.869 0.956

Summary:
As for the formation energy: -10.03 eV per formula unit. The calculation puts the mass density at 4.664 Mg/m³. As for the space group: Ia-3d, No. 230. As for the total magnetic moment: 0.00 μB per formula unit.

---

Record 2
The following is a DFT calculation (PBE) of KCaTlBr6 after structural relaxation.

a = 7.413 Å, b = 7.413 Å, c = 14.423 Å
α = 90.00°, β = 90.00°, γ = 120.00°
Sites, in units of the cell vectors:
K: 0.000 0.000 0.000
K: 0.000 0.000 0.500
Ca: 0.333 0.667 0.250
Ca: 0.667 0.333 0.750
Tl: 0.667 0.333 0.250
Tl: 0.333 0.667 0.750
Br: 0.636 0.625 0.136
Br: 0.989 0.364 0.136
Br: 0.364 0.989 0.636
Br: 0.011 0.636 0.864
Br: 0.375 0.364 0.364
Br: 0.989 0.625 0.364
Br: 0.625 0.989 0.864
Br: 0.636 0.011 0.364
Br: 0.011 0.375 0.636
Br: 0.375 0.011 0.136
Br: 0.625 0.636 0.636
Br: 0.364 0.375 0.864

Summary:
The formation energy from raw total energies comes out at -1.28 eV/atom. The calculation puts the mass density at 3.692 Mg/m³. As for the space group: P-31c, No. 163. As for the total magnetic moment: 0.00 μB per formula unit.

---

Record 3
The following is a DFT calculation (PBE) of Cd3Ag2 after structural relaxation.

a = 5.780 Å, b = 5.780 Å, c = 7.705 Å
α = 99.51°, β = 99.51°, γ = 124.03°
Sites, in units of the cell vectors:
Ag: 0.898 0.447 0.096
Ag: 0.352 0.802 0.904
Ag: 0.052 0.102 0.404
Ag: 0.697 0.648 0.596
Cd: 0.469 0.556 0.202
Cd: 0.354 0.267 0.798
Cd: 0.517 0.104 0.298
Cd: 0.806 0.219 0.702
Cd: 0.927 0.927 0.000
Cd: 0.177 0.677 0.500

Summary:
As for the formation energy: -0.08 eV per formula unit. The calculation puts the mass density at 9.197 Mg/m³. Its excess energy over the best structure of this formula in the dataset is 21 meV per atom. As for the space group: Fdd2, No. 43. As for the total magnetic moment: 0.00 μB per formula unit.

---

Record 4
The following is a DFT calculation (PBE) of NaAg3Pb after structural relaxation.

a = 5.402 Å, b = 5.402 Å, c = 5.402 Å
α = 90.00°, β = 90.00°, γ = 90.00°
Sites, in units of the cell vectors:
Pb: 0.000 0.000 0.000
Na: 0.500 0.500 0.500
Ag: 0.000 0.500 0.000
Ag: 0.000 0.000 0.500
Ag: 0.500 0.000 0.000

Summary:
As for the formation energy: 1.67 eV per formula unit. The calculation puts the mass density at 5.832 Mg/m³. Its excess energy over the best structure of this formula in the dataset is 301 meV per atom. As for the space group: Pm-3m, No. 221. As for the total magnetic moment: 0.00 μB per formula unit.

---

Record 5
The following is a DFT calculation (PBE) of CaEr3Au2 after structural relaxation.

a = 4.903 Å, b = 7.281 Å, c = 8.870 Å
α = 90.00°, β = 90.00°, γ = 90.00°
Sites, in units of the cell vectors:
Ca: 0.500 0.520 0.573
Ca: 0.500 0.020 0.427
Er: 0.000 0.481 0.927
Er: 0.000 0.981 0.073
Er: 0.500 0.648 0.171
Er: 0.500 0.148 0.829
Er: 0.000 0.352 0.322
Er: 0.000 0.852 0.678
Au: 0.500 0.753 0.858
Au: 0.500 0.253 0.142
Au: 0.000 0.246 0.652
Au: 0.000 0.746 0.348

Summary:
As for the formation energy: -3.80 eV per formula unit. The calculation puts the mass density at 9.814 Mg/m³. As for the space group: Pmc2_1, No. 26. As for the total magnetic moment: 0.00 μB per formula unit.

---

Record 6
The following is a DFT calculation (PBE) of Er6Tm2ZrSc3 after structural relaxation.

a = 5.922 Å, b = 5.922 Å, c = 11.245 Å
α = 95.02°, β = 95.02°, γ = 119.94°
Sites, in units of the cell vectors:
Er: 0.916 0.588 0.747
Er: 0.756 0.756 0.252
Er: 0.084 0.412 0.253
Er: 0.588 0.916 0.747
Er: 0.244 0.244 0.748
Er: 0.412 0.084 0.253
Tm: 0.333 0.667 0.000
Tm: 0.667 0.333 0.000
Zr: 0.000 0.000 0.000
Sc: 0.167 0.833 0.500
Sc: 0.833 0.167 0.500
Sc: 0.500 0.500 0.500

Summary:
As for the formation energy: 0.69 eV per formula unit. The calculation puts the mass density at 7.735 Mg/m³. As for the space group: C2/m, No. 12. As for the total magnetic moment: 0.00 μB per formula unit.